Entry from the Alexandria database: a relaxed structure of CeDy3Ho4Se8 (PBE-GGA).

Unit cell a=8.158 b=8.163 c=8.158 alpha=119.97 beta=120.00 gamma=90.00
Last column: magnetic moment on the atom in μB.
Positions (direct):
Ce1 0.000 0.500 0.000  0.53
Dy1 0.500 0.500 0.000  0.01
Dy2 0.500 0.500 0.500  0.01
Dy3 0.000 0.500 0.500  0.01
Ho1 0.500 0.000 0.000  -0.01
Ho2 0.500 0.000 0.500  0.01
Ho3 0.000 0.000 0.000  0.01
Ho4 0.000 0.000 0.500  0.01
Se1 0.254 0.755 0.001  0.00
Se2 0.254 0.755 0.508  0.00
Se3 0.249 0.248 0.499  0.00
Se4 0.747 0.755 0.001  0.00
Se5 0.253 0.245 0.999  0.00
Se6 0.751 0.752 0.501  0.00
Se7 0.746 0.245 0.492  0.00
Se8 0.746 0.245 0.999  0.00

SG	R-3m, No. 166
density	8.3	Mg/m³

Entry from the Alexandria database: a relaxed structure of CeDy3Ho2Se6 (PBE-GGA).

Unit cell a=4.070 b=8.225 c=9.140 alpha=102.91 beta=102.87 gamma=90.00
Last column: magnetic moment on the atom in μB.
Positions (direct):
Ce1 0.500 0.000 0.000  0.79
Dy1 0.500 0.500 0.000  0.01
Dy2 0.836 0.166 0.673  0.01
Dy3 0.164 0.834 0.327  0.01
Ho1 0.836 0.671 0.671  0.02
Ho2 0.164 0.329 0.329  0.02
Se1 0.329 0.914 0.658  0.00
Se2 0.668 0.582 0.337  0.00
Se3 0.671 0.086 0.342  0.00
Se4 0.001 0.259 0.002  -0.01
Se5 0.999 0.741 0.998  -0.01
Se6 0.332 0.418 0.663  0.00

SG	C2/m, No. 12
density	8.2	Mg/m³

V for every record listed, in sequence, given in Å³/atom: 24.018 24.197.
Magnetization for every record listed, in sequence, given in μB per atom: 0.0430 0.0916.
E for every record listed, in sequence, given in eV/atom: -5.87 -5.91.